A plane-wave DFT calculation with PBE was carried out for a relaxed structure of ZrSeBr2.

Structure (extended XYZ):
```
4
Lattice="1.6945 0.9783 10.3783 -1.6945 0.9783 10.3783 0.0000 -1.9566 10.3783" Properties=species:S:1:pos:R:3 pbc="T T T"
Zr 0.0000 0.0000 0.0000
Se 0.0000 0.0000 15.5674
Br 0.0000 0.0000 8.4529
Br 0.0000 0.0000 22.6819
```

Computed properties:
- Theoretical density: 5.31 g/cm³
- Raw total energy: -4.405 eV/atom
- Excess energy over the best structure of this formula in the dataset: 671.7 meV per atom
- Magnetization: 0.000 μB per formula unit
- Calculated volume: 103 Å³/cell